Record 1
{"formula": "Sm4Te2PdS", "functional": "PBE", "state": "relaxed", "spacegroup": "No. 10", "formation_energy_uncorrected_ev_per_atom": -1.38, "cell": [[7.442, 0.000, 0.000], [0.000, 4.181, 0.000], [-2.452, 0.000, 7.152]], "species": ["Sm", "Sm", "Sm", "Sm", "Te", "Te", "Pd", "S"], "fractional_positions": [[0.231, 0.000, 0.219], [0.264, 0.500, 0.783], [0.736, 0.500, 0.217], [0.769, 0.000, 0.781], [0.000, 0.000, 0.500], [0.500, 0.500, 0.500], [0.500, 0.000, 0.000], [0.000, 0.500, 0.000]]}

***

Record 2
{"formula": "Sm2UPdS5", "functional": "PBE", "state": "relaxed", "spacegroup": "No. 36", "formation_energy_uncorrected_ev_per_atom": -1.53, "cell": [[1.945, -8.153, 0.000], [1.945, 8.153, 0.000], [0.000, 0.000, 12.087]], "species": ["Sm", "Sm", "Sm", "Sm", "U", "U", "Pd", "Pd", "S", "S", "S", "S", "S", "S", "S", "S", "S", "S"], "fractional_positions": [[0.107, 0.893, 0.500], [0.116, 0.884, 0.842], [0.884, 0.116, 0.342], [0.893, 0.107, 0.000], [0.180, 0.820, 0.172], [0.820, 0.180, 0.672], [0.446, 0.554, 0.564], [0.554, 0.446, 0.064], [0.016, 0.984, 0.170], [0.301, 0.699, 0.830], [0.302, 0.698, 0.511], [0.345, 0.655, 0.169], [0.493, 0.507, 0.886], [0.507, 0.493, 0.386], [0.655, 0.345, 0.669], [0.698, 0.302, 0.011], [0.699, 0.301, 0.330], [0.984, 0.016, 0.670]]}

***

Record 3
{"formula": "SnPd2S", "functional": "PBE", "state": "relaxed", "spacegroup": "No. 63", "formation_energy_uncorrected_ev_per_atom": -0.24, "cell": [[1.689, -9.878, 0.000], [1.689, 9.878, 0.000], [0.000, 0.000, 4.570]], "species": ["Sn", "Sn", "Pd", "Pd", "Pd", "Pd", "S", "S"], "fractional_positions": [[0.192, 0.808, 0.750], [0.808, 0.192, 0.250], [0.329, 0.671, 0.750], [0.420, 0.580, 0.250], [0.580, 0.420, 0.750], [0.671, 0.329, 0.250], [0.452, 0.548, 0.750], [0.548, 0.452, 0.250]]}

***

Record 4
{"formula": "Sn2PdS", "functional": "PBE", "state": "relaxed", "spacegroup": "No. 122", "formation_energy_uncorrected_ev_per_atom": -0.18, "cell": [[-3.164, 3.164, 5.686], [3.164, -3.164, 5.686], [3.164, 3.164, -5.686]], "species": ["Sn", "Sn", "Sn", "Sn", "Pd", "Pd", "S", "S"], "fractional_positions": [[0.110, 0.625, 0.985], [0.375, 0.360, 0.485], [0.640, 0.125, 0.015], [0.875, 0.890, 0.515], [0.000, 0.000, 0.000], [0.750, 0.250, 0.500], [0.250, 0.750, 0.500], [0.500, 0.500, 0.000]]}

***

Record 5
{"formula": "SnPdS", "functional": "PBE", "state": "relaxed", "spacegroup": "No. 107", "formation_energy_uncorrected_ev_per_atom": -0.12, "cell": [[-1.708, 1.708, 5.357], [1.708, -1.708, 5.357], [1.708, 1.708, -5.357]], "species": ["Sn", "Pd", "S"], "fractional_positions": [[0.000, 0.000, 0.000], [0.317, 0.317, 0.000], [0.749, 0.749, 0.000]]}

***

Record 6
{"formula": "Sn2Pd8S3", "functional": "PBE", "state": "relaxed", "spacegroup": "No. 12", "formation_energy_uncorrected_ev_per_atom": -0.17, "cell": [[6.042, -3.810, 0.000], [6.042, 3.810, 0.000], [-2.190, 0.000, 5.233]], "species": ["Sn", "Sn", "Pd", "Pd", "Pd", "Pd", "Pd", "Pd", "Pd", "Pd", "S", "S", "S"], "fractional_positions": [[0.185, 0.185, 0.184], [0.815, 0.815, 0.816], [0.174, 0.174, 0.659], [0.176, 0.560, 0.079], [0.400, 0.400, 0.566], [0.440, 0.824, 0.921], [0.560, 0.176, 0.079], [0.600, 0.600, 0.434], [0.824, 0.440, 0.921], [0.826, 0.826, 0.341], [0.201, 0.799, 0.500], [0.500, 0.500, 0.000], [0.799, 0.201, 0.500]]}

***

Record 7
{"formula": "SnPdS6", "functional": "PBE", "state": "relaxed", "spacegroup": "No. 2", "formation_energy_uncorrected_ev_per_atom": -0.13, "cell": [[3.845, 0.000, 0.000], [0.490, 7.084, 0.000], [1.669, 0.553, 7.551]], "species": ["Sn", "Pd", "S", "S", "S", "S", "S", "S"], "fractional_positions": [[0.000, 0.000, 0.000], [0.500, 0.500, 0.000], [0.172, 0.838, 0.695], [0.433, 0.350, 0.286], [0.455, 0.786, 0.137], [0.545, 0.214, 0.863], [0.567, 0.650, 0.714], [0.828, 0.162, 0.305]]}

***

Record 8
{"formula": "Sn3Pd2S3", "functional": "PBE", "state": "relaxed", "spacegroup": "No. 148", "formation_energy_uncorrected_ev_per_atom": -0.42, "cell": [[6.401, 3.695, 5.156], [-6.401, 3.695, 5.156], [0.000, -7.391, 5.156]], "species": ["Sn", "Sn", "Sn", "Sn", "Sn", "Sn", "Sn", "Sn", "Sn", "Sn", "Sn", "Sn", "Pd", "Pd", "Pd", "Pd", "Pd", "Pd", "Pd", "Pd", "S", "S", "S", "S", "S", "S", "S", "S", "S", "S", "S", "S"], "fractional_positions": [[0.002, 0.143, 0.654], [0.143, 0.654, 0.002], [0.153, 0.502, 0.359], [0.346, 0.998, 0.857], [0.359, 0.153, 0.502], [0.498, 0.641, 0.847], [0.502, 0.359, 0.153], [0.641, 0.847, 0.498], [0.654, 0.002, 0.143], [0.847, 0.498, 0.641], [0.857, 0.346, 0.998], [0.998, 0.857, 0.346], [0.240, 0.743, 0.741], [0.244, 0.244, 0.244], [0.257, 0.259, 0.760], [0.259, 0.760, 0.257], [0.741, 0.240, 0.743], [0.743, 0.741, 0.240], [0.756, 0.756, 0.756], [0.760, 0.257, 0.259], [0.007, 0.146, 0.357], [0.144, 0.494, 0.647], [0.146, 0.357, 0.007], [0.353, 0.856, 0.506], [0.357, 0.007, 0.146], [0.494, 0.647, 0.144], [0.506, 0.353, 0.856], [0.643, 0.993, 0.854], [0.647, 0.144, 0.494], [0.854, 0.643, 0.993], [0.856, 0.506, 0.353], [0.993, 0.854, 0.643]]}

***

Record 9
{"formula": "Sn2Pd6S", "functional": "PBE", "state": "relaxed", "spacegroup": "No. 38", "formation_energy_uncorrected_ev_per_atom": -0.40, "cell": [[3.248, 0.000, 0.000], [0.000, 6.308, 3.648], [0.000, -6.308, 3.648]], "species": ["Sn", "Sn", "Pd", "Pd", "Pd", "Pd", "Pd", "Pd", "S"], "fractional_positions": [[0.000, 0.167, 0.833], [0.000, 0.833, 0.167], [0.000, 0.231, 0.499], [0.000, 0.499, 0.231], [0.000, 0.770, 0.770], [0.500, 0.119, 0.119], [0.500, 0.500, 0.880], [0.500, 0.880, 0.500], [0.500, 0.501, 0.501]]}

***

Record 10
{"formula": "SnPd7S2", "functional": "PBE", "state": "relaxed", "de_polymorph_kcal_per_mol_atoms": 0.81, "spacegroup": "No. 65", "formation_energy_uncorrected_ev_per_atom": -0.21, "cell": [[3.659, -7.268, 0.000], [3.659, 7.268, 0.000], [0.000, 0.000, 3.363]], "species": ["Sn", "Pd", "Pd", "Pd", "Pd", "Pd", "Pd", "Pd", "S", "S"], "fractional_positions": [[0.000, 0.000, 0.000], [0.074, 0.303, 0.500], [0.236, 0.764, 0.000], [0.303, 0.074, 0.500], [0.500, 0.500, 0.500], [0.697, 0.926, 0.500], [0.764, 0.236, 0.000], [0.926, 0.697, 0.500], [0.342, 0.658, 0.500], [0.658, 0.342, 0.500]]}

***

Record 11
{"formula": "SnPd7S2", "functional": "PBE", "state": "relaxed", "de_polymorph_kcal_per_mol_atoms": 0.00, "spacegroup": "No. 139", "formation_energy_uncorrected_ev_per_atom": -0.25, "cell": [[-2.041, 2.041, 9.805], [2.041, -2.041, 9.805], [2.041, 2.041, -9.805]], "species": ["Sn", "Pd", "Pd", "Pd", "Pd", "Pd", "Pd", "Pd", "S", "S"], "fractional_positions": [[0.000, 0.000, 0.000], [0.102, 0.602, 0.500], [0.250, 0.750, 0.500], [0.398, 0.898, 0.500], [0.500, 0.500, 0.000], [0.602, 0.102, 0.500], [0.750, 0.250, 0.500], [0.898, 0.398, 0.500], [0.326, 0.326, 0.000], [0.674, 0.674, 0.000]]}

***

Record 12
{"formula": "SnPdS4", "functional": "PBE", "state": "relaxed", "de_polymorph_kcal_per_mol_atoms": 0.08, "spacegroup": "No. 10", "formation_energy_uncorrected_ev_per_atom": -0.27, "cell": [[6.255, 0.000, 0.000], [0.000, 3.630, 0.000], [-1.915, 0.000, 6.437]], "species": ["Sn", "Pd", "S", "S", "S", "S"], "fractional_positions": [[0.000, 0.000, 0.000], [0.500, 0.500, 0.000], [0.254, 0.500, 0.220], [0.291, 0.000, 0.796], [0.709, 0.000, 0.204], [0.746, 0.500, 0.780]]}

***

Record 13
{"formula": "SnPdS", "functional": "PBE", "state": "relaxed", "spacegroup": "No. 216", "formation_energy_uncorrected_ev_per_atom": -0.26, "cell": [[0.000, 3.162, 3.162], [3.162, 0.000, 3.162], [3.162, 3.162, 0.000]], "species": ["Sn", "Pd", "S"], "fractional_positions": [[0.000, 0.000, 0.000], [0.250, 0.250, 0.250], [0.500, 0.500, 0.500]]}

***

Record 14
{"formula": "SnPdS", "functional": "PBE", "state": "relaxed", "spacegroup": "No. 4", "formation_energy_uncorrected_ev_per_atom": -0.25, "cell": [[3.585, 0.000, 0.000], [0.000, 7.090, 0.000], [-0.093, 0.000, 5.532]], "species": ["Sn", "Sn", "Pd", "Pd", "S", "S"], "fractional_positions": [[0.073, 0.000, 0.044], [0.927, 0.500, 0.956], [0.378, 0.312, 0.252], [0.622, 0.812, 0.748], [0.438, 0.492, 0.621], [0.562, 0.992, 0.379]]}

***

Record 15
{"formula": "Sn2Pd7S2", "functional": "PBE", "state": "relaxed", "spacegroup": "No. 12", "formation_energy_uncorrected_ev_per_atom": -0.27, "cell": [[3.755, -4.482, 0.000], [3.755, 4.482, 0.000], [-2.053, 0.000, 5.981]], "species": ["Sn", "Sn", "Pd", "Pd", "Pd", "Pd", "Pd", "Pd", "Pd", "S", "S"], "fractional_positions": [[0.185, 0.815, 0.000], [0.815, 0.185, 0.000], [0.055, 0.589, 0.310], [0.110, 0.110, 0.353], [0.411, 0.945, 0.690], [0.500, 0.500, 0.500], [0.589, 0.055, 0.310], [0.890, 0.890, 0.647], [0.945, 0.411, 0.690], [0.335, 0.335, 0.747], [0.665, 0.665, 0.253]]}

***

Record 16
{"formula": "SnPd2S", "functional": "PBE", "state": "relaxed", "spacegroup": "No. 122", "formation_energy_uncorrected_ev_per_atom": -0.28, "cell": [[-2.419, 2.419, 7.291], [2.419, -2.419, 7.291], [2.419, 2.419, -7.291]], "species": ["Sn", "Sn", "Pd", "Pd", "Pd", "Pd", "S", "S"], "fractional_positions": [[0.000, 0.000, 0.000], [0.750, 0.250, 0.500], [0.213, 0.625, 0.088], [0.375, 0.463, 0.588], [0.537, 0.125, 0.912], [0.875, 0.787, 0.412], [0.250, 0.750, 0.500], [0.500, 0.500, 0.000]]}

***

Record 17
{"formula": "Sn2PdS2", "functional": "PBE", "state": "relaxed", "spacegroup": "No. 15", "formation_energy_uncorrected_ev_per_atom": -0.28, "cell": [[2.907, -2.921, 0.000], [2.907, 2.921, 0.000], [-2.869, 0.000, 13.360]], "species": ["Sn", "Sn", "Sn", "Sn", "Pd", "Pd", "S", "S", "S", "S"], "fractional_positions": [[0.174, 0.302, 0.100], [0.302, 0.174, 0.600], [0.698, 0.826, 0.400], [0.826, 0.698, 0.900], [0.159, 0.841, 0.250], [0.841, 0.159, 0.750], [0.161, 0.399, 0.361], [0.399, 0.161, 0.861], [0.601, 0.839, 0.139], [0.839, 0.601, 0.639]]}

***

Record 18
{"formula": "SnPdS", "functional": "PBE", "state": "relaxed", "spacegroup": "No. 156", "formation_energy_uncorrected_ev_per_atom": -0.28, "cell": [[4.239, 0.000, 0.000], [-2.120, 3.671, 0.000], [0.000, 0.000, 3.887]], "species": ["Sn", "Pd", "S"], "fractional_positions": [[0.000, 0.000, 0.000], [0.333, 0.667, 0.439], [0.667, 0.333, 0.482]]}

***

Record 19
{"formula": "SnPdS3", "functional": "PBE", "state": "relaxed", "spacegroup": "No. 221", "formation_energy_uncorrected_ev_per_atom": 0.20, "cell": [[4.749, 0.000, 0.000], [0.000, 4.749, 0.000], [0.000, 0.000, 4.749]], "species": ["Sn", "Pd", "S", "S", "S"], "fractional_positions": [[0.000, 0.000, 0.000], [0.500, 0.500, 0.500], [0.000, 0.500, 0.500], [0.500, 0.000, 0.500], [0.500, 0.500, 0.000]]}

***

Record 20
{"formula": "Sn2Pd8S", "functional": "PBE", "state": "relaxed", "spacegroup": "No. 12", "formation_energy_uncorrected_ev_per_atom": -0.38, "cell": [[7.436, -2.286, 0.000], [7.436, 2.286, 0.000], [-2.148, 0.000, 5.328]], "species": ["Sn", "Sn", "Pd", "Pd", "Pd", "Pd", "Pd", "Pd", "Pd", "Pd", "S"], "fractional_positions": [[0.181, 0.181, 0.184], [0.819, 0.819, 0.816], [0.004, 0.004, 0.260], [0.196, 0.196, 0.713], [0.364, 0.364, 0.606], [0.377, 0.377, 0.109], [0.623, 0.623, 0.891], [0.636, 0.636, 0.394], [0.804, 0.804, 0.287], [0.996, 0.996, 0.740], [0.500, 0.500, 0.500]]}

***

Record 21
{"formula": "SnPdS", "functional": "PBE", "state": "relaxed", "spacegroup": "No. 64", "formation_energy_uncorrected_ev_per_atom": -0.21, "cell": [[3.346, -5.921, 0.000], [3.346, 5.921, 0.000], [0.000, 0.000, 6.155]], "species": ["Sn", "Sn", "Sn", "Sn", "Pd", "Pd", "Pd", "Pd", "S", "S", "S", "S"], "fractional_positions": [[0.184, 0.816, 0.982], [0.316, 0.684, 0.482], [0.684, 0.316, 0.518], [0.816, 0.184, 0.018], [0.101, 0.899, 0.377], [0.399, 0.601, 0.877], [0.601, 0.399, 0.123], [0.899, 0.101, 0.623], [0.188, 0.312, 0.250], [0.312, 0.188, 0.750], [0.688, 0.812, 0.250], [0.812, 0.688, 0.750]]}

***

Record 22
{"formula": "SnPd5S", "functional": "PBE", "state": "relaxed", "spacegroup": "No. 15", "formation_energy_uncorrected_ev_per_atom": -0.10, "cell": [[5.463, -3.698, 0.000], [5.463, 3.698, 0.000], [-5.314, 0.000, 7.215]], "species": ["Sn", "Sn", "Pd", "Pd", "Pd", "Pd", "Pd", "Pd", "Pd", "Pd", "Pd", "Pd", "S", "S"], "fractional_positions": [[0.044, 0.956, 0.750], [0.956, 0.044, 0.250], [0.193, 0.803, 0.022], [0.197, 0.807, 0.478], [0.240, 0.259, 0.263], [0.259, 0.240, 0.763], [0.416, 0.584, 0.750], [0.584, 0.416, 0.250], [0.741, 0.760, 0.237], [0.760, 0.741, 0.737], [0.803, 0.193, 0.522], [0.807, 0.197, 0.978], [0.500, 0.500, 0.000], [0.500, 0.500, 0.500]]}

***

no.,calculated density (g cm⁻³)
1,7.42
2,6.98
3,7.92
4,5.48
5,6.83
6,8.17
7,3.37
8,6.04
9,10.09
10,8.61
11,9.43
12,4.02
13,6.76
14,6.07
15,8.63
16,7.08
17,5.97
18,7.06
19,4.98
20,10.28
21,7.01
22,7.78